5
Lattice="5.5757 0.0000 0.0000 0.0000 5.5757 0.0000 0.0000 0.0000 3.6746" Properties=species:S:1:pos:R:3 comment="Te2OsBrN | Alexandria via LeMat-Bulk | PBE | relaxed" e_form_raw_ev_per_atom=0.399 e_above_lowest_polymorph_mev_per_atom=0 rho_g_cm3=7.8 spacegroup=P4/mmm pbc="T T T"
Te 0.0000 2.7879 0.0000
Te 2.7879 0.0000 0.0000
Os 0.0000 0.0000 0.0000
Br 2.7879 2.7879 1.8373
N 0.0000 0.0000 1.8373